[1]
An optimized crystal structure of NbIr2RuI. Source: Alexandria, functional GGA-PBE.

Cell: 4.788 4.788 4.963 Å, 90.00 90.00 90.00°
Space group P4/mmm (No. 123)
Inequivalent atoms, fractional coordinates:
1 Nb 0.000 0.000 0.000 [1 per cell]
2 Ir 0.000 0.500 0.500 [2 per cell]
3 Ru 0.500 0.500 0.000 [1 per cell]
4 I 0.000 0.000 0.500 [1 per cell]

Energy ... -5.5248 eV/atom
Spin magnetization ... 2.124 μB per cell
D(E_F) ... 6.00 states/eV/f.u.
E_form (uncorrected) ... 2.199 eV/atom


[2]
An optimized crystal structure of NbSb2IrI. Source: Alexandria, functional GGA-PBE.

Cell: 5.087 5.087 5.370 Å, 90.00 90.00 90.00°
Space group P4/mmm (No. 123)
Inequivalent atoms, fractional coordinates:
1 Nb 0.000 0.000 0.000 [1 per cell]
2 Sb 0.000 0.500 0.500 [2 per cell]
3 Ir 0.500 0.500 0.500 [1 per cell]
4 I 0.500 0.500 0.000 [1 per cell]

Energy ... -4.6348 eV/atom
Spin magnetization ... 0.001 μB per cell
Energy above the most stable polymorph in this dataset ... 0 meV per atom
D(E_F) ... 8.44 states/eV/f.u.
E_form (uncorrected) ... 1.110 eV/atom


[3]
An optimized crystal structure of NbSbIrI2. Source: Alexandria, functional GGA-PBE.

Cell: 5.332 5.332 5.593 Å, 90.00 90.00 90.00°
Space group P4/mmm (No. 123)
Inequivalent atoms, fractional coordinates:
1 Nb 0.000 0.000 0.000 [1 per cell]
2 Sb 0.000 0.000 0.500 [1 per cell]
3 Ir 0.500 0.500 0.500 [1 per cell]
4 I 0.000 0.500 0.000 [2 per cell]

Energy ... -3.9244 eV/atom
Spin magnetization ... 1.858 μB per cell
Energy above the most stable polymorph in this dataset ... 251 meV per atom
D(E_F) ... 9.49 states/eV/f.u.
E_form (uncorrected) ... 1.306 eV/atom


[4]
An optimized crystal structure of NbSb2IrI. Source: Alexandria, functional GGA-PBE.

Cell: 5.359 5.359 5.272 Å, 90.00 90.00 90.00°
Space group P4/mmm (No. 123)
Inequivalent atoms, fractional coordinates:
1 Nb 0.000 0.000 0.000 [1 per cell]
2 Sb 0.000 0.500 0.000 [2 per cell]
3 Ir 0.500 0.500 0.500 [1 per cell]
4 I 0.000 0.000 0.500 [1 per cell]

Energy ... -4.4562 eV/atom
Spin magnetization ... 1.628 μB per cell
Energy above the most stable polymorph in this dataset ... 179 meV per atom
D(E_F) ... 8.26 states/eV/f.u.
E_form (uncorrected) ... 1.289 eV/atom


[5]
An optimized crystal structure of NbSbIrI2. Source: Alexandria, functional GGA-PBE.

Cell: 5.530 5.530 4.984 Å, 90.00 90.00 90.00°
Space group P4/mmm (No. 123)
Inequivalent atoms, fractional coordinates:
1 Nb 0.000 0.000 0.000 [1 per cell]
2 Sb 0.500 0.500 0.000 [1 per cell]
3 Ir 0.500 0.500 0.500 [1 per cell]
4 I 0.000 0.500 0.500 [2 per cell]

Energy ... -4.1758 eV/atom
Spin magnetization ... 3.655 μB per cell
Energy above the most stable polymorph in this dataset ... 0 meV per atom
D(E_F) ... 4.23 states/eV/f.u.
E_form (uncorrected) ... 1.055 eV/atom


[6]
An optimized crystal structure of NbIrSeI2. Source: Alexandria, functional GGA-PBE.

Cell: 5.503 5.503 4.936 Å, 90.00 90.00 90.00°
Space group P4/mmm (No. 123)
Inequivalent atoms, fractional coordinates:
1 Nb 0.000 0.000 0.000 [1 per cell]
2 Ir 0.000 0.000 0.500 [1 per cell]
3 Se 0.500 0.500 0.500 [1 per cell]
4 I 0.000 0.500 0.000 [2 per cell]

Energy ... -4.1179 eV/atom
Spin magnetization ... 2.250 μB per cell
D(E_F) ... 6.12 states/eV/f.u.
E_form (uncorrected) ... 0.985 eV/atom


[7]
An optimized crystal structure of NbTe2IrI. Source: Alexandria, functional GGA-PBE.

Cell: 5.340 5.340 5.579 Å, 90.00 90.00 90.00°
Space group P4/mmm (No. 123)
Inequivalent atoms, fractional coordinates:
1 Nb 0.000 0.000 0.000 [1 per cell]
2 Te 0.000 0.500 0.000 [2 per cell]
3 Ir 0.500 0.500 0.500 [1 per cell]
4 I 0.000 0.000 0.500 [1 per cell]

Energy ... -4.1857 eV/atom
Spin magnetization ... 2.385 μB per cell
Energy above the most stable polymorph in this dataset ... 224 meV per atom
D(E_F) ... 4.33 states/eV/f.u.
E_form (uncorrected) ... 1.167 eV/atom


[8]
An optimized crystal structure of NbTe2IrI. Source: Alexandria, functional GGA-PBE.

Cell: 5.228 5.228 5.303 Å, 90.00 90.00 90.00°
Space group P4/mmm (No. 123)
Inequivalent atoms, fractional coordinates:
1 Nb 0.000 0.000 0.000 [1 per cell]
2 Te 0.000 0.500 0.500 [2 per cell]
3 Ir 0.500 0.500 0.500 [1 per cell]
4 I 0.500 0.500 0.000 [1 per cell]

Energy ... -4.4102 eV/atom
Spin magnetization ... 2.140 μB per cell
Energy above the most stable polymorph in this dataset ... 0 meV per atom
D(E_F) ... 4.44 states/eV/f.u.
E_form (uncorrected) ... 0.943 eV/atom


[9]
An optimized crystal structure of Nd2IrI. Source: Alexandria, functional GGA-PBE.

Cell: 4.2240 4.2240 24.3357 Å, 90.00 90.00 120.00°
Space group R-3m (No. 166, hexagonal axes)
Inequivalent atoms, fractional coordinates:
1 Nd 0.0000 0.0000 0.2278 [6 per cell]
2 Ir 0.0000 0.0000 0.5000 [3 per cell]
3 I 0.0000 0.0000 0.0000 [3 per cell]

Energy ... -5.9488 eV/atom
Spin magnetization ... 0.000 μB per cell
Energy above the most stable polymorph in this dataset ... 0 meV per atom
D(E_F) ... 1.02 states/eV/f.u.
E_form (uncorrected) ... -0.962 eV/atom


[10]
An optimized crystal structure of Nd2IrI3. Source: Alexandria, functional GGA-PBE.

Cell: 18.358 4.479 12.651 Å, 90.00 121.30 90.00°
Space group C2/m (No. 12)
Inequivalent atoms, fractional coordinates:
1 Nd 0.084 0.000 0.410 [4 per cell]
2 Nd 0.131 0.500 0.800 [4 per cell]
3 Ir 0.073 0.000 0.635 [4 per cell]
4 I 0.051 0.500 0.209 [4 per cell]
5 I 0.162 0.000 0.019 [4 per cell]
6 I 0.210 0.500 0.608 [4 per cell]

Energy ... -4.8617 eV/atom
Spin magnetization ... 0.000 μB per cell
E_form (uncorrected) ... -1.021 eV/atom


[11]
An optimized crystal structure of Nd4IrI5. Source: Alexandria, functional GGA-PBE.

Cell: 19.972 4.261 9.188 Å, 90.00 102.94 90.00°
Space group C2/m (No. 12)
Inequivalent atoms, fractional coordinates:
1 Nd 0.000 0.000 0.205 [4 per cell]
2 Nd 0.145 0.500 0.078 [4 per cell]
3 Ir 0.000 0.500 0.000 [2 per cell]
4 I 0.000 0.500 0.500 [2 per cell]
5 I 0.168 0.000 0.346 [4 per cell]
6 I 0.175 0.000 0.830 [4 per cell]

Energy ... -4.7699 eV/atom
Spin magnetization ... 0.001 μB per cell
D(E_F) ... 6.84 states/eV/f.u.
E_form (uncorrected) ... -1.202 eV/atom


[12]
An optimized crystal structure of Nd3IrI. Source: Alexandria, functional GGA-PBE.

Cell: 4.010 9.568 8.673 Å, 90.00 90.00 90.00°
Space group Pmmn (No. 59, origin choice 2)
Inequivalent atoms, fractional coordinates:
1 Nd 0.250 0.073 0.153 [4 per cell]
2 Nd 0.250 0.250 0.760 [2 per cell]
3 Ir 0.250 0.750 0.017 [2 per cell]
4 I 0.250 0.750 0.566 [2 per cell]

Energy ... -5.5831 eV/atom
Spin magnetization ... 0.000 μB per cell
Energy above the most stable polymorph in this dataset ... 32 meV per atom
D(E_F) ... 4.06 states/eV/f.u.
E_form (uncorrected) ... -0.640 eV/atom


[13]
An optimized crystal structure of NdIrI. Source: Alexandria, functional GGA-PBE.

Cell: 7.561 4.367 12.333 Å, 90.00 98.59 90.00°
Space group C2/m (No. 12)
Inequivalent atoms, fractional coordinates:
1 Nd 0.038 0.000 0.155 [4 per cell]
2 Ir 0.166 0.500 0.998 [4 per cell]
3 I 0.247 0.500 0.330 [4 per cell]

Energy ... -6.1253 eV/atom
Spin magnetization ... 0.000 μB per cell
D(E_F) ... 1.00 states/eV/f.u.
E_form (uncorrected) ... -1.066 eV/atom


[14]
An optimized crystal structure of Nd4Ir2I5. Source: Alexandria, functional GGA-PBE.

Cell: 3.993 9.936 19.521 Å, 90.00 90.00 90.00°
Space group Immm (No. 71)
Inequivalent atoms, fractional coordinates:
1 Nd 0.000 0.000 0.176 [4 per cell]
2 Nd 0.000 0.295 0.500 [4 per cell]
3 Ir 0.000 0.000 0.306 [4 per cell]
4 I 0.000 0.248 0.341 [8 per cell]
5 I 0.000 0.500 0.000 [2 per cell]

Energy ... -4.3209 eV/atom
Spin magnetization ... 0.001 μB per cell
D(E_F) ... 6.80 states/eV/f.u.
E_form (uncorrected) ... -0.271 eV/atom